[1]
CaNd5Dy2: optimized geometry, PBE.

Cell lengths 10.4627, 10.4627, 11.6970 Å; angles 56.01, 56.01, 101.95 degrees
Atoms (fractional coordinates):
Ca (0.9046, 0.0954, 0.2500)
Ca (0.0954, 0.9046, 0.7500)
Nd (0.5512, 0.4488, 0.7500)
Nd (0.4488, 0.5512, 0.2500)
Nd (0.3047, 0.6954, 0.9194)
Nd (0.1060, 0.8941, 0.0640)
Nd (0.6954, 0.3047, 0.4194)
Nd (0.1059, 0.8940, 0.4360)
Nd (0.8941, 0.1060, 0.5640)
Nd (0.8940, 0.1059, 0.9360)
Nd (0.3046, 0.6953, 0.5806)
Nd (0.6953, 0.3046, 0.0806)
Dy (0.5000, 0.0000, 0.0000)
Dy (0.5000, 0.5000, 0.0000)
Dy (0.5000, 0.5000, 0.5000)
Dy (0.0000, 0.5000, 0.5000)

Summary:
**N(E_F)**: 14.91 states/eV/f.u.
**Volume**: 36.014 Å³/atom
**SG**: Imma
**Calculated total energy**: -4.14 eV/atom

=====

[2]
Na2Sr2NpO6: optimized geometry, PBE.

Cell lengths 6.2196, 6.2196, 5.9589 Å; angles 97.75, 97.75, 119.02 degrees
Last column: magnetic moment on the atom in μB.
Atoms (fractional coordinates):
Na (0.8566, 0.1434, 0.0000)  0.00
Na (0.1434, 0.8566, 0.0000)  0.00
Sr (0.3370, 0.6630, 0.5000)  0.00
Sr (0.6630, 0.3370, 0.5000)  0.00
Np (0.0000, 0.0000, 0.5000)  1.21
O (0.7816, 0.7816, 0.7052)  -0.04
O (0.0396, 0.3307, 0.6956)  -0.04
O (0.2184, 0.2184, 0.2948)  -0.04
O (0.3307, 0.0396, 0.6956)  -0.04
O (0.9604, 0.6693, 0.3044)  -0.04
O (0.6693, 0.9604, 0.3044)  -0.04

Summary:
**Volume**: 17.665 Å³/atom
**SG**: C2/m
**Formation energy without anion corrections**: -2.557 eV per atom

=====

[3]
Ho8NiAg2: optimized geometry, PBE.

Cell lengths 5.9681, 8.7804, 8.7804 Å; angles 130.36, 102.75, 102.75 degrees
Atoms (fractional coordinates):
Ho (0.6482, 0.3842, 0.1566)
Ho (0.6482, 0.1566, 0.3842)
Ho (0.1400, 0.2753, 0.2753)
Ho (0.9801, 0.2008, 0.8081)
Ho (0.9801, 0.8081, 0.2008)
Ho (0.7750, 0.7342, 0.7342)
Ho (0.2876, 0.8405, 0.6162)
Ho (0.2876, 0.6162, 0.8405)
Ni (0.2900, 0.0051, 0.0051)
Ag (0.4815, 0.7267, 0.2863)
Ag (0.4815, 0.2863, 0.7267)

Summary:
**N(E_F)**: 10.55 states/eV/f.u.
**Volume**: 27.114 Å³/atom
**SG**: Cm
**Calculated total energy**: -4.50 eV/atom

=====

[4]
K3TlZn: optimized geometry, PBE.

Cell lengths 6.4363, 6.4363, 6.4363 Å; angles 90.00, 90.00, 90.00 degrees
Atoms (fractional coordinates):
K (0.0000, 0.5000, 0.0000)
K (0.0000, 0.0000, 0.5000)
K (0.5000, 0.0000, 0.0000)
Tl (0.5000, 0.5000, 0.5000)
Zn (0.0000, 0.0000, 0.0000)

Summary:
**N(E_F)**: 2.44 states/eV/f.u.
**Volume**: 53.327 Å³/atom
**SG**: Pm-3m
**Calculated total energy**: -1.17 eV/atom

=====

[5]
K3Rb2Cd2Au4: optimized geometry, PBE.

Cell lengths 5.4989, 5.4989, 14.2323 Å; angles 101.14, 101.14, 90.00 degrees
Atoms (fractional coordinates):
K (0.0000, 0.0000, 0.0000)
K (0.1450, 0.1450, 0.2899)
K (0.8550, 0.8550, 0.7101)
Rb (0.3179, 0.3179, 0.6358)
Rb (0.6821, 0.6821, 0.3642)
Cd (0.4460, 0.4460, 0.8920)
Cd (0.5540, 0.5540, 0.1080)
Au (0.4179, 0.9179, 0.8358)
Au (0.9179, 0.4179, 0.8358)
Au (0.0821, 0.5821, 0.1642)
Au (0.5821, 0.0821, 0.1642)

Summary:
**N(E_F)**: 5.72 states/eV/f.u.
**Volume**: 37.634 Å³/atom
**SG**: I4/mmm
**Calculated total energy**: -2.00 eV/atom

=====

[6]
Pa3Al2Ga7: optimized geometry, PBE.

Cell lengths 4.2264, 4.2264, 14.1431 Å; angles 98.59, 98.59, 90.00 degrees
Atoms (fractional coordinates):
Pa (0.3379, 0.3379, 0.6758)
Pa (0.6621, 0.6621, 0.3242)
Pa (0.5000, 0.5000, 0.0000)
Al (0.1405, 0.1405, 0.2811)
Al (0.8595, 0.8595, 0.7189)
Ga (0.0000, 0.0000, 0.0000)
Ga (0.9204, 0.4204, 0.8407)
Ga (0.4204, 0.9204, 0.8407)
Ga (0.0796, 0.5796, 0.1593)
Ga (0.5796, 0.0796, 0.1593)
Ga (0.2311, 0.2311, 0.4623)
Ga (0.7689, 0.7689, 0.5377)

Summary:
**N(E_F)**: 15.79 states/eV/f.u.
**Volume**: 20.577 Å³/atom
**SG**: I4/mmm
**Calculated total energy**: -4.96 eV/atom

=====

[7]
HfAgC2: optimized geometry, PBE.

Cell lengths 4.7497, 4.7497, 6.4316 Å; angles 68.33, 68.33, 90.00 degrees
Atoms (fractional coordinates):
C (0.6262, 0.1250, 0.2500)
C (0.1238, 0.6250, 0.2500)
C (0.3750, 0.3738, 0.7500)
C (0.8750, 0.8762, 0.7500)
Hf (0.0000, 0.0000, 0.0000)
Hf (0.7500, 0.2500, 0.5000)
Ag (0.5000, 0.5000, 0.0000)
Ag (0.2500, 0.7500, 0.5000)

Summary:
**N(E_F)**: 2.72 states/eV/f.u.
**Volume**: 15.468 Å³/atom
**SG**: I-42d
**Calculated total energy**: -6.72 eV/atom

=====

[8]
LiAlB2Ir: optimized geometry, PBE.

Cell lengths 4.0665, 4.7425, 4.0665 Å; angles 90.00, 90.00, 90.00 degrees
Atoms (fractional coordinates):
B (0.0000, 0.0000, 0.5000)
B (0.5000, 0.0000, 0.0000)
Ir (0.0000, 0.0000, 0.0000)
Al (0.5000, 0.5000, 0.5000)
Li (0.0000, 0.5000, 0.0000)

Summary:
**N(E_F)**: 2.05 states/eV/f.u.
**Volume**: 15.685 Å³/atom
**SG**: P4/mmm
**Calculated total energy**: -5.04 eV/atom

=====

no.,theoretical density (g/cm³)
1,6.26
2,4.74
3,8.87
4,2.41
5,5.22
6,8.31
7,8.33
8,5.25